Entry 1:
The following is a PBE calculation of crystalline B2C3 at its relaxed geometry, from Alexandria.

a = 2.6287 Å, b = 2.6287 Å, c = 36.1058 Å
α = 90.00°, β = 90.00°, γ = 120.00°
Closest atoms and distances in Å follow each position.
Space group R3m (No. 160, hexagonal axes)
Inequivalent atoms, fractional coordinates:
B (0.0000, 0.0000, 0.0000) (multiplicity 3)  3 C 1.52
B (0.0000, 0.0000, 0.0923) (multiplicity 3)  3 C 1.53
B (0.0000, 0.0000, 0.2591) (multiplicity 3)  1 C 1.59
B (0.0000, 0.0000, 0.6195) (multiplicity 3)  1 C 1.59
C (0.0000, 0.0000, 0.2151) (multiplicity 3)  1 B 1.59, 3 C 1.60
C (0.0000, 0.0000, 0.4317) (multiplicity 3)  3 B 1.53, 1 C 1.64
C (0.0000, 0.0000, 0.4771) (multiplicity 3)  4 C 1.60-1.64
C (0.0000, 0.0000, 0.6635) (multiplicity 3)  4 B 1.52-1.59
C (0.0000, 0.0000, 0.8246) (multiplicity 3)  4 C 1.55-1.60
C (0.0000, 0.0000, 0.8675) (multiplicity 3)  4 C 1.55-1.60

Values from the calculation:
N(E_F) in states/eV/cell: 7.82
Magnetic moment in μB per atom: 0.00
Total energy in eV per atom: -7.905

***

Entry 2:
The following is a PBE calculation of crystalline Li2CrOs at its relaxed geometry, from Alexandria.

a = 5.8820 Å, b = 5.8820 Å, c = 5.8820 Å
α = 90.00°, β = 90.00°, γ = 90.00°
Closest atoms and distances in Å follow each position.
Space group F-43m (No. 216)
Inequivalent atoms, fractional coordinates:
Li (0.0000, 0.0000, 0.0000) (multiplicity 4)  4 Li 2.55, 4 Os 2.55
Li (0.2500, 0.2500, 0.2500) (multiplicity 4)  4 Cr 2.55, 4 Li 2.55
Cr (0.0000, 0.0000, 0.5000) (multiplicity 4)  4 Li 2.55, 4 Os 2.55
Os (0.2500, 0.2500, 0.7500) (multiplicity 4)  4 Cr 2.55, 4 Li 2.55

Values from the calculation:
N(E_F) in states/eV/cell: 6.15
Magnetic moment in μB per atom: 0.47
Total energy in eV per atom: -5.906

***

Entry 3:
The following is a PBE calculation of crystalline Rb2CuC2O6 at its relaxed geometry, from Alexandria.

a = 12.2322 Å, b = 4.9589 Å, c = 6.6861 Å
α = 90.00°, β = 118.71°, γ = 90.00°
Closest atoms and distances in Å follow each position.
Space group C2/m (No. 12)
Inequivalent atoms, fractional coordinates:
Rb (0.1913, 0.0000, 0.1954) (multiplicity 4)  7 O 2.89-3.04
Cu (0.0000, 0.0000, 0.5000) (multiplicity 2)  4 O 1.97
C (0.0014, 0.5000, 0.2876) (multiplicity 4)  3 O 1.26-1.32
O (0.0632, 0.2758, 0.7415) (multiplicity 8)  1 C 1.32
O (0.1146, 0.5000, 0.3345) (multiplicity 4)  1 C 1.26

Values from the calculation:
N(E_F) in states/eV/cell: 2.69
Magnetic moment in μB per atom: 0.02
Uncorrected formation energy in eV/atom: -1.45
Total energy in eV per atom: -6.381

***

Entry 4:
The following is a PBE calculation of crystalline RbPtS2 at its relaxed geometry, from Alexandria.

a = 7.4873 Å, b = 7.4873 Å, c = 7.4038 Å
α = 90.00°, β = 90.00°, γ = 90.00°
Closest atoms and distances in Å follow each position.
Space group I-42d (No. 122)
Inequivalent atoms, fractional coordinates:
Rb (0.0000, 0.0000, 0.0000) (multiplicity 4)  8 S 3.44-3.50, 2 Pt 3.70
Pt (0.0000, 0.0000, 0.5000) (multiplicity 4)  4 S 2.32
S (0.1353, 0.7500, 0.6250) (multiplicity 8)  2 Pt 2.32

Values from the calculation:
N(E_F) in states/eV/cell: 15.58
Magnetic moment in μB per atom: 0.00
Uncorrected formation energy in eV/atom: -0.53
Total energy in eV per atom: -4.343

***

Entry 5:
The following is a PBE calculation of crystalline CeGa3Cu at its relaxed geometry, from Alexandria.

a = 4.2776 Å, b = 4.2776 Å, c = 10.2571 Å
α = 90.00°, β = 90.00°, γ = 90.00°
Closest atoms and distances in Å follow each position.
Space group I4mm (No. 107)
Inequivalent atoms, fractional coordinates:
Ce (0.0000, 0.0000, 0.0000) (multiplicity 2)  12 Ga 3.18-3.35, 4 Cu 3.33
Ga (0.0000, 0.0000, 0.5941) (multiplicity 2)  1 Cu 2.36
Ga (0.0000, 0.5000, 0.2489) (multiplicity 4)  2 Cu 2.44, 2 Ga 2.66
Cu (0.0000, 0.0000, 0.3638) (multiplicity 2)  5 Ga 2.36-2.44

Values from the calculation:
N(E_F) in states/eV/cell: 13.63
Magnetic moment in μB per atom: 0.12
Total energy in eV per atom: -4.305

***

Entry 6:
The following is a PBE calculation of crystalline ErNiPt at its relaxed geometry, from Alexandria.

a = 3.4463 Å, b = 3.4463 Å, c = 8.8681 Å
α = 90.00°, β = 90.00°, γ = 90.00°
Closest atoms and distances in Å follow each position.
Space group I4mm (No. 107)
Inequivalent atoms, fractional coordinates:
Er (0.0000, 0.0000, 0.0000) (multiplicity 2)  5 Ni 2.89, 5 Pt 2.89
Ni (0.0000, 0.0000, 0.3253) (multiplicity 2)  5 Pt 2.78-3.09, 5 Er 2.89
Pt (0.0000, 0.0000, 0.6742) (multiplicity 2)  5 Ni 2.78-3.09, 5 Er 2.89

Values from the calculation:
N(E_F) in states/eV/cell: 6.10
Magnetic moment in μB per atom: 0.00
Total energy in eV per atom: -6.065

***

Entry 7:
The following is a PBE calculation of crystalline HfVH4 at its relaxed geometry, from Alexandria.

a = 3.1486 Å, b = 3.1486 Å, c = 4.5448 Å
α = 90.00°, β = 90.00°, γ = 90.00°
Closest atoms and distances in Å follow each position.
Space group P4/mmm (No. 123)
Inequivalent atoms, fractional coordinates:
Hf (0.0000, 0.0000, 0.0000) (multiplicity 1)  8 H 2.02
V (0.5000, 0.5000, 0.5000) (multiplicity 1)  8 H 1.87
H (0.0000, 0.5000, 0.2783) (multiplicity 4)  2 V 1.87, 1 H 2.02, 2 Hf 2.02

Values from the calculation:
N(E_F) in states/eV/cell: 2.20
Magnetic moment in μB per atom: 0.18
Total energy in eV per atom: -5.761

***

Entry 8:
The following is a PBE calculation of crystalline MgB2PtCl at its relaxed geometry, from Alexandria.

a = 4.0373 Å, b = 4.0373 Å, c = 4.8281 Å
α = 90.00°, β = 90.00°, γ = 90.00°
Closest atoms and distances in Å follow each position.
Space group P4/mmm (No. 123)
Inequivalent atoms, fractional coordinates:
Mg (0.0000, 0.0000, 0.0000) (multiplicity 1)  4 Pt 2.85, 8 B 3.15
B (0.0000, 0.5000, 0.5000) (multiplicity 2)  2 Cl 2.02
Pt (0.5000, 0.5000, 0.0000) (multiplicity 1)  2 Cl 2.41
Cl (0.5000, 0.5000, 0.5000) (multiplicity 1)  4 B 2.02

Values from the calculation:
N(E_F) in states/eV/cell: 1.80
Magnetic moment in μB per atom: 0.00
Uncorrected formation energy in eV/atom: 1.61
Total energy in eV per atom: -2.958

***

Entry 9:
The following is a PBE calculation of crystalline Mn2TlIr at its relaxed geometry, from Alexandria.

a = 2.9406 Å, b = 2.9406 Å, c = 26.5697 Å
α = 90.00°, β = 90.00°, γ = 120.00°
Closest atoms and distances in Å follow each position.
Space group R3m (No. 160, hexagonal axes)
Inequivalent atoms, fractional coordinates:
Mn (0.0000, 0.0000, 0.0000) (multiplicity 3)  9 Mn 2.65-2.94
Mn (0.0000, 0.0000, 0.2568) (multiplicity 3)  3 Ir 2.54, 3 Mn 2.65
Tl (0.0000, 0.0000, 0.7588) (multiplicity 3)  6 Tl 2.94, 3 Mn 2.98, 3 Ir 3.01
Ir (0.0000, 0.0000, 0.5192) (multiplicity 3)  3 Mn 2.54

Values from the calculation:
N(E_F) in states/eV/cell: 11.17
Magnetic moment in μB per atom: 1.54
Total energy in eV per atom: -6.899

***

Entry 10:
The following is a PBE calculation of crystalline Li5Cd2Pd2Rh at its relaxed geometry, from Alexandria.

a = 9.1063 Å, b = 9.1063 Å, c = 3.8685 Å
α = 90.00°, β = 90.00°, γ = 90.00°
Closest atoms and distances in Å follow each position.
Space group P4/mbm (No. 127)
Inequivalent atoms, fractional coordinates:
Li (0.0000, 0.5000, 0.0000) (multiplicity 2)  4 Pd 2.46
Li (0.0640, 0.1930, 0.0000) (multiplicity 8)  3 Li 2.62-2.86, 2 Pd 2.64, 2 Rh 2.68
Cd (0.1772, 0.6772, 0.5000) (multiplicity 4)  3 Pd 2.64-2.74
Pd (0.1177, 0.3823, 0.5000) (multiplicity 4)  6 Li 2.46-2.64, 3 Cd 2.64-2.74
Rh (0.0000, 0.0000, 0.5000) (multiplicity 2)  8 Li 2.68

Values from the calculation:
N(E_F) in states/eV/cell: 4.89
Magnetic moment in μB per atom: 0.00
Total energy in eV per atom: -3.160

***

Entry 11:
The following is a PBE calculation of crystalline ZrTlRe3 at its relaxed geometry, from Alexandria.

a = 4.8854 Å, b = 4.8854 Å, c = 4.8854 Å
α = 90.00°, β = 90.00°, γ = 90.00°
Closest atoms and distances in Å follow each position.
Space group Pm-3m (No. 221)
Inequivalent atoms, fractional coordinates:
Zr (0.0000, 0.0000, 0.0000) (multiplicity 1)  6 Re 2.44
Tl (0.5000, 0.5000, 0.5000) (multiplicity 1)  12 Re 3.45
Re (0.0000, 0.0000, 0.5000) (multiplicity 3)  2 Zr 2.44

Values from the calculation:
N(E_F) in states/eV/cell: 5.66
Magnetic moment in μB per atom: 0.69
Total energy in eV per atom: -7.121